This record from Alexandria via LeMat-Bulk describes a relaxed MgCoPO5 crystal. The functional is PBE+U.

a = 5.331 Å, b = 5.512 Å, c = 6.777 Å
α = 106.41°, β = 106.08°, γ = 98.95°
Space group P-1 (No. 2)
Symmetry-distinct sites (fractional):
Mg1 0.246 0.371 0.263 (multiplicity 2)
Co1 0.500 0.000 0.000 (multiplicity 1)
Co2 0.500 0.000 0.500 (multiplicity 1)
P1 0.175 0.395 0.759 (multiplicity 2)
O1 0.127 0.714 0.382 (multiplicity 2)
O2 0.184 0.694 0.852 (multiplicity 2)
O3 0.258 0.281 0.943 (multiplicity 2)
O4 0.360 0.354 0.614 (multiplicity 2)
O5 0.406 0.065 0.247 (multiplicity 2)

Values from the calculation:
raw total energy	-6.601	eV/atom